VASP calculation (PBE-GGA) on an optimized crystal structure of Pm2FeC2N6.

Summary:
V in Å³ per atom: 10.4
ΔE_f (raw) in eV per formula unit: -4.69
Symmetry: R-3m, No. 166

a = 5.8810 Å, b = 5.8810 Å, c = 5.8810 Å
α = 51.30°, β = 51.30°, γ = 51.30°
Last column: nearest neighbours and their distance in Å.
Positions (direct):
Pm  0.2206  0.2206  0.2206  9 N 2.59-2.65, 1 C 2.88
Pm  0.7794  0.7794  0.7794  9 N 2.59-2.65, 1 C 2.88
Fe  0.0000  0.0000  0.0000  6 N 2.00
C  0.4093  0.4093  0.4093  3 N 1.37
C  0.5907  0.5907  0.5907  3 N 1.37
N  0.2591  0.2591  0.7245  1 C 1.37
N  0.2591  0.7245  0.2591  1 C 1.37
N  0.2755  0.7409  0.7409  1 C 1.37
N  0.7245  0.2591  0.2591  1 C 1.37
N  0.7409  0.2755  0.7409  1 C 1.37
N  0.7409  0.7409  0.2755  1 C 1.37


VASP calculation (PBE-GGA) on an optimized crystal structure of Pr2FeC2N6.

Summary:
V in Å³ per atom: 10.7
ΔE_f (raw) in eV per formula unit: -4.42
Symmetry: R-3m, No. 166

a = 5.9356 Å, b = 5.9356 Å, c = 5.9356 Å
α = 51.28°, β = 51.28°, γ = 51.28°
Last column: nearest neighbours and their distance in Å.
Positions (direct):
Pr  0.2220  0.2220  0.2220  9 N 2.62-2.71, 1 C 2.88
Pr  0.7780  0.7780  0.7780  9 N 2.62-2.71, 1 C 2.88
Fe  0.0000  0.0000  0.0000  6 N 2.01
C  0.4085  0.4085  0.4085  3 N 1.37
C  0.5915  0.5915  0.5915  3 N 1.37
N  0.2589  0.2589  0.7215  1 C 1.37
N  0.2589  0.7215  0.2589  1 C 1.37
N  0.2785  0.7411  0.7411  1 C 1.37
N  0.7215  0.2589  0.2589  1 C 1.37
N  0.7411  0.2785  0.7411  1 C 1.37
N  0.7411  0.7411  0.2785  1 C 1.37


VASP calculation (PBE-GGA) on an optimized crystal structure of Pr3FeC2N6.

Summary:
V in Å³ per atom: 13.3
ΔE_f (raw) in eV per formula unit: -6.27
Symmetry: P-3m1, No. 164

a = 5.3764 Å, b = 5.3764 Å, c = 6.3868 Å
α = 90.00°, β = 90.00°, γ = 120.00°
Last column: nearest neighbours and their distance in Å.
Positions (direct):
Pr  0.0000  0.0000  0.0000  6 N 2.49
Pr  0.3333  0.6667  0.6633  1 C 2.52, 9 N 2.72-2.81
Pr  0.6667  0.3333  0.3367  1 C 2.52, 9 N 2.72-2.81
Fe  0.0000  0.0000  0.5000  6 N 2.23
C  0.3333  0.6667  0.2690  3 N 1.37
C  0.6667  0.3333  0.7310  3 N 1.37
N  0.1860  0.3720  0.2796  1 C 1.37
N  0.1860  0.8140  0.2796  1 C 1.37
N  0.3720  0.1860  0.7204  1 C 1.37
N  0.6280  0.8140  0.2796  1 C 1.37
N  0.8140  0.1860  0.7204  1 C 1.37
N  0.8140  0.6280  0.7204  1 C 1.37


VASP calculation (PBE-GGA) on an optimized crystal structure of FePtC6N6.

Summary:
V in Å³ per atom: 18.7
ΔE_f (raw) in eV per formula unit: 4.27
Symmetry: Fm-3m, No. 225

a = 7.1824 Å, b = 7.1824 Å, c = 7.1824 Å
α = 60.00°, β = 60.00°, γ = 60.00°
Last column: nearest neighbours and their distance in Å.
Positions (direct):
Fe  0.0000  0.0000  0.0000  6 N 1.90
Pt  0.5000  0.5000  0.5000  6 C 2.02
C  0.3012  0.3012  0.6988  1 N 1.16
C  0.3012  0.6988  0.3012  1 N 1.16
C  0.3012  0.6988  0.6988  1 N 1.16
C  0.6988  0.3012  0.3012  1 N 1.16
C  0.6988  0.3012  0.6988  1 N 1.16
C  0.6988  0.6988  0.3012  1 N 1.16
N  0.1867  0.1867  0.8133  1 C 1.16
N  0.1867  0.8133  0.1867  1 C 1.16
N  0.1867  0.8133  0.8133  1 C 1.16
N  0.8133  0.1867  0.1867  1 C 1.16
N  0.8133  0.1867  0.8133  1 C 1.16
N  0.8133  0.8133  0.1867  1 C 1.16


VASP calculation (PBE-GGA) on an optimized crystal structure of FeCSN2.

Summary:
V in Å³ per atom: 13.6
ΔE_f (raw) in eV per formula unit: 9.00
Symmetry: P4/mmm, No. 123

a = 3.0976 Å, b = 3.0976 Å, c = 7.1053 Å
α = 90.00°, β = 90.00°, γ = 90.00°
Last column: nearest neighbours and their distance in Å.
Positions (direct):
Fe  0.0000  0.0000  0.0000  4 S 2.19
C  0.5000  0.5000  0.5000  4 N 1.55
S  0.5000  0.5000  0.0000  4 Fe 2.19
N  0.0000  0.5000  0.5000  2 C 1.55
N  0.5000  0.0000  0.5000  2 C 1.55


VASP calculation (PBE-GGA) on an optimized crystal structure of FeCSN2.

Summary:
V in Å³ per atom: 12.1
ΔE_f (raw) in eV per formula unit: 9.34
Symmetry: P4/mmm, No. 123

a = 3.4404 Å, b = 3.4404 Å, c = 5.1192 Å
α = 90.00°, β = 90.00°, γ = 90.00°
Last column: nearest neighbours and their distance in Å.
Positions (direct):
Fe  0.0000  0.0000  0.0000  4 N 1.72
C  0.5000  0.5000  0.5000  4 S 2.43
S  0.0000  0.0000  0.5000  4 C 2.43, 2 Fe 2.56
N  0.0000  0.5000  0.0000  2 Fe 1.72
N  0.5000  0.0000  0.0000  2 Fe 1.72


VASP calculation (PBE-GGA) on an optimized crystal structure of FeCSe2N.

Summary:
V in Å³ per atom: 15.2
ΔE_f (raw) in eV per formula unit: 7.54
Symmetry: P4/mmm, No. 123

a = 4.7583 Å, b = 4.7583 Å, c = 3.3586 Å
α = 90.00°, β = 90.00°, γ = 90.00°
Last column: nearest neighbours and their distance in Å.
Positions (direct):
Fe  0.0000  0.0000  0.0000  2 N 1.68
C  0.5000  0.5000  0.5000  8 Se 2.91
Se  0.0000  0.5000  0.0000  2 Fe 2.38
Se  0.5000  0.0000  0.0000  2 Fe 2.38
N  0.0000  0.0000  0.5000  2 Fe 1.68


VASP calculation (PBE-GGA) on an optimized crystal structure of FeCSeN2.

Summary:
V in Å³ per atom: 9.9
ΔE_f (raw) in eV per formula unit: 11.64
Symmetry: P4/mmm, No. 123

a = 3.4710 Å, b = 3.4710 Å, c = 4.0999 Å
α = 90.00°, β = 90.00°, γ = 90.00°
Last column: nearest neighbours and their distance in Å.
Positions (direct):
Fe  0.0000  0.0000  0.0000  4 Se 2.45, 8 N 2.69
C  0.5000  0.5000  0.5000  4 N 1.74
Se  0.5000  0.5000  0.0000  2 C 2.05
N  0.0000  0.5000  0.5000  2 C 1.74
N  0.5000  0.0000  0.5000  2 C 1.74


VASP calculation (PBE-GGA) on an optimized crystal structure of FeCSe2N.

Summary:
V in Å³ per atom: 16.8
ΔE_f (raw) in eV per formula unit: 4.40
Symmetry: P4/mmm, No. 123

a = 5.8300 Å, b = 5.8300 Å, c = 2.4779 Å
α = 90.00°, β = 90.00°, γ = 90.00°
Last column: nearest neighbours and their distance in Å.
Positions (direct):
Fe  0.0000  0.0000  0.0000  2 Fe 2.48
C  0.5000  0.5000  0.5000  2 N 1.24
Se  0.0000  0.5000  0.5000  2 Se 2.48
Se  0.5000  0.0000  0.5000  2 Se 2.48
N  0.5000  0.5000  0.0000  2 C 1.24


VASP calculation (PBE-GGA) on an optimized crystal structure of FeCSeN2.

Summary:
V in Å³ per atom: 12.9
ΔE_f (raw) in eV per formula unit: 8.57
Symmetry: P4/mmm, No. 123

a = 3.4362 Å, b = 3.4362 Å, c = 5.4546 Å
α = 90.00°, β = 90.00°, γ = 90.00°
Last column: nearest neighbours and their distance in Å.
Positions (direct):
Fe  0.0000  0.0000  0.0000  4 N 1.72
C  0.5000  0.5000  0.5000  4 Se 2.43
Se  0.0000  0.0000  0.5000  4 C 2.43
N  0.0000  0.5000  0.0000  2 Fe 1.72
N  0.5000  0.0000  0.0000  2 Fe 1.72


VASP calculation (PBE-GGA) on an optimized crystal structure of FeSiCN.

Summary:
V in Å³ per atom: 10.2
ΔE_f (raw) in eV per formula unit: 1.98
Symmetry: P1, No. 1

a = 2.9292 Å, b = 3.6959 Å, c = 4.1568 Å
α = 68.46°, β = 76.92°, γ = 83.83°
Last column: nearest neighbours and their distance in Å.
Positions (direct):
Fe  0.0000  0.0000  0.0000  2 C 1.92-1.93, 2 N 1.99-2.03
Si  0.4058  0.6007  0.4036  1 N 1.78, 1 C 1.96
C  0.4221  0.2557  0.1369  1 N 1.42
N  0.2405  0.5443  0.8575  1 C 1.42


VASP calculation (PBE-GGA) on an optimized crystal structure of FeSiCN.

Summary:
V in Å³ per atom: 9.3
ΔE_f (raw) in eV per formula unit: 0.49
Symmetry: P3m1, No. 156

a = 2.8325 Å, b = 2.8325 Å, c = 5.3722 Å
α = 90.00°, β = 90.00°, γ = 120.00°
Last column: nearest neighbours and their distance in Å.
Positions (direct):
Fe  0.0000  0.0000  0.0000  3 N 1.95
Si  0.6667  0.3333  0.6309  3 C 1.91
C  0.3333  0.6667  0.4479  1 N 1.35
N  0.3333  0.6667  0.1964  1 C 1.35


Please write out number 12 again, unchanged.
VASP calculation (PBE-GGA) on an optimized crystal structure of FeSiCN.

Summary:
V in Å³ per atom: 9.3
ΔE_f (raw) in eV per formula unit: 0.49
Symmetry: P3m1, No. 156

a = 2.8325 Å, b = 2.8325 Å, c = 5.3722 Å
α = 90.00°, β = 90.00°, γ = 120.00°
Last column: nearest neighbours and their distance in Å.
Positions (direct):
Fe  0.0000  0.0000  0.0000  3 N 1.95
Si  0.6667  0.3333  0.6309  3 C 1.91
C  0.3333  0.6667  0.4479  1 N 1.35
N  0.3333  0.6667  0.1964  1 C 1.35